## K2PbWO6 (PBE with a Hubbard U)

Data for crystalline K2PbWO6 at its relaxed geometry.

Properties
Crystal system: trigonal
E (Ha/atom): -0.2175
Total magnetic moment (Bohr magnetons per cell): 0.00

a b c (Å): 5.8524 5.8526 5.8516
angles (deg): 60.00 60.00 60.00
Closest atoms and distances in Å follow each position.
Fractional positions:
K  0.5661  0.5661  0.3017  12 O 2.92-2.94
K  0.0661  0.0661  0.8017  12 O 2.92-2.94
Pb  0.8161  0.8162  0.5516  6 O 2.19
W  0.3161  0.3161  0.0516  6 O 1.95
O  0.5518  0.0819  0.2873  1 W 1.95
O  0.0819  0.0791  0.2871  1 W 1.95
O  0.0791  0.5518  0.2873  1 W 1.95
O  0.5506  0.5531  0.8157  1 W 1.95
O  0.5531  0.0806  0.8157  1 W 1.95
O  0.0806  0.5506  0.8157  1 W 1.95